Density functional theory data (PBEsol) for a relaxed structure of Nb3BF.

Results
* raw formation energy: 0.41 eV per atom
* space-group type: No. 221

Cell lengths 4.328, 4.328, 4.328 Å; angles 90.00, 90.00, 90.00 degrees
Element x y z (fractional)
1 Nb 0.500 0.000 0.000
2 Nb 0.000 0.000 0.500
3 Nb 0.000 0.500 0.000
4 B 0.000 0.000 0.000
5 F 0.500 0.500 0.500